A geometry-optimized Pu2Ga6CuIr structure, computed with PBE-GGA.

a b c (Å): 11.949 11.949 11.949
angles (deg): 30.36 30.36 30.36
Fractional coordinates of all 20 atoms:
1 Pu 0.112 0.112 0.112
2 Pu 0.283 0.283 0.283
3 Pu 0.717 0.717 0.717
4 Pu 0.888 0.888 0.888
5 Ga 0.074 0.659 0.659
6 Ga 0.222 0.222 0.657
7 Ga 0.222 0.657 0.222
8 Ga 0.341 0.341 0.926
9 Ga 0.341 0.926 0.341
10 Ga 0.343 0.778 0.778
11 Ga 0.657 0.222 0.222
12 Ga 0.659 0.074 0.659
13 Ga 0.659 0.659 0.074
14 Ga 0.778 0.343 0.778
15 Ga 0.778 0.778 0.343
16 Ga 0.926 0.341 0.341
17 Cu 0.000 0.000 0.000
18 Cu 0.500 0.500 0.500
19 Ir 0.424 0.424 0.424
20 Ir 0.576 0.576 0.576

Energy of formation from the pure elements = -0.258 eV/atom


A geometry-optimized Eu2LuGa structure, computed with PBE-GGA.

a b c (Å): 4.765 4.765 5.017
angles (deg): 90.00 90.00 90.00
Fractional coordinates of all 4 atoms:
1 Eu 0.000 0.500 0.000
2 Eu 0.500 0.000 0.000
3 Lu 0.000 0.000 0.500
4 Ga 0.500 0.500 0.500

E above lowest polymorph = 0.073 eV/f.u.
Energy of formation from the pure elements = -0.124 eV/atom


A geometry-optimized CrReNiP2 structure, computed with PBE-GGA.

a b c (Å): 4.198 4.198 4.203
angles (deg): 90.00 90.00 90.00
Fractional coordinates of all 5 atoms:
1 Cr 0.000 0.000 0.000
2 Re 0.500 0.500 0.000
3 Ni 0.000 0.000 0.500
4 P 0.000 0.500 0.500
5 P 0.500 0.000 0.500

Energy of formation from the pure elements = 1.273 eV/atom


A geometry-optimized Pm2PaTl2Se6 structure, computed with PBE-GGA.

a b c (Å): 7.347 7.347 8.199
angles (deg): 98.76 98.76 119.87
Fractional coordinates of all 11 atoms:
1 Pm 0.167 0.833 0.000
2 Pm 0.833 0.167 0.000
3 Pa 0.500 0.500 0.000
4 Tl 0.332 0.668 0.500
5 Tl 0.668 0.332 0.500
6 Se 0.108 0.432 0.795
7 Se 0.249 0.249 0.206
8 Se 0.432 0.108 0.795
9 Se 0.568 0.892 0.205
10 Se 0.751 0.751 0.794
11 Se 0.892 0.568 0.205

Uncorrected formation energy = -15.16 eV/f.u.


A geometry-optimized SiSnAsSe2 structure, computed with PBE-GGA.

a b c (Å): 5.246 5.246 5.211
angles (deg): 90.00 90.00 90.00
Fractional coordinates of all 5 atoms:
1 Si 0.000 0.000 0.000
2 Sn 0.500 0.500 0.500
3 As 0.500 0.500 0.000
4 Se 0.000 0.500 0.500
5 Se 0.500 0.000 0.500

Uncorrected formation energy = 4.29 eV/f.u.
E above lowest polymorph = 3.232 eV/f.u.


A geometry-optimized Cs4HI2 structure, computed with PBE-GGA.

a b c (Å): 6.273 6.273 20.149
angles (deg): 90.00 90.00 90.00
Fractional coordinates of all 14 atoms:
1 Cs 0.000 0.000 0.183
2 Cs 0.000 0.000 0.817
3 Cs 0.000 0.500 0.000
4 Cs 0.000 0.500 0.500
5 Cs 0.500 0.000 0.000
6 Cs 0.500 0.000 0.500
7 Cs 0.500 0.500 0.317
8 Cs 0.500 0.500 0.683
9 H 0.000 0.000 0.000
10 H 0.500 0.500 0.500
11 I 0.000 0.000 0.379
12 I 0.000 0.000 0.621
13 I 0.500 0.500 0.121
14 I 0.500 0.500 0.879


For the records above, the corresponding DOS(E_F) values read 37.91, 3.63, 8.66, 2.72, 4.69, 4.81 states/eV/cell.
For the records above, the corresponding V values read 193, 114, 74, 366, 143, 396 Å³/f.u..
For the records above, the corresponding DFT total energy values read -6.237, -7.149, -6.462, -5.436, -3.350, -2.255 eV per atom.